Entry 1:
TmH8PtRh4 after structural relaxation, computed with PBE.

Summary:
**E**: -69.30 eV for the cell shown

a b c (Å): 5.609 5.609 5.609
angles (deg): 60.42 60.42 60.42
Atoms (fractional coordinates):
Tm: 0.000 0.000 0.000
H: 0.105 0.704 0.704
H: 0.156 0.156 0.156
H: 0.164 0.164 0.533
H: 0.164 0.533 0.164
H: 0.533 0.164 0.164
H: 0.617 0.617 0.617
H: 0.704 0.105 0.704
H: 0.704 0.704 0.105
Pt: 0.385 0.385 0.385
Rh: 0.380 0.380 0.874
Rh: 0.380 0.874 0.380
Rh: 0.752 0.752 0.752
Rh: 0.874 0.380 0.380

Entry 2:
GaCo2Sb2 after structural relaxation, computed with PBE.

Summary:
**Formation energy (no corrections)**: 0.178 eV per atom

a b c (Å): 7.248 7.248 3.250
angles (deg): 90.00 90.00 90.00
Atoms (fractional coordinates):
Ga: 0.000 0.000 0.000
Ga: 0.500 0.500 0.000
Co: 0.132 0.368 0.000
Co: 0.368 0.868 0.000
Co: 0.632 0.132 0.000
Co: 0.868 0.632 0.000
Sb: 0.161 0.661 0.500
Sb: 0.339 0.161 0.500
Sb: 0.661 0.839 0.500
Sb: 0.839 0.339 0.500

Entry 3:
RbCa2ZnIr after structural relaxation, computed with PBE.

Summary:
**E**: -15.46 eV for the cell shown

a b c (Å): 5.556 5.556 5.193
angles (deg): 90.00 90.00 90.00
Atoms (fractional coordinates):
Rb: 0.000 0.000 0.000
Ca: 0.000 0.500 0.500
Ca: 0.500 0.000 0.500
Zn: 0.500 0.500 0.000
Ir: 0.500 0.500 0.500

Entry 4:
LiTm3Pu2S6 after structural relaxation, computed with PBE.

Summary:
**Formation energy (no corrections)**: -1.847 eV per atom

a b c (Å): 6.716 6.716 6.748
angles (deg): 99.56 99.56 120.01
Atoms (fractional coordinates):
Li: 0.000 0.000 0.000
Tm: 0.167 0.833 0.500
Tm: 0.500 0.500 0.500
Tm: 0.833 0.167 0.500
Pu: 0.333 0.667 0.000
Pu: 0.667 0.333 0.000
S: 0.085 0.412 0.256
S: 0.241 0.241 0.745
S: 0.412 0.085 0.256
S: 0.588 0.915 0.744
S: 0.759 0.759 0.255
S: 0.915 0.588 0.744

Entry 5:
LaTcRh2 after structural relaxation, computed with PBE.

Summary:
**E**: -30.17 eV for the cell shown

a b c (Å): 2.963 2.963 8.047
angles (deg): 90.00 90.00 90.00
Atoms (fractional coordinates):
La: 0.000 0.000 0.000
Tc: 0.000 0.000 0.500
Rh: 0.500 0.500 0.291
Rh: 0.500 0.500 0.709

Entry 6:
ScTeRu2 after structural relaxation, computed with PBE.

Summary:
**Formation energy (no corrections)**: -0.138 eV per atom

a b c (Å): 4.656 4.656 5.110
angles (deg): 100.19 100.19 39.64
Atoms (fractional coordinates):
Sc: 0.000 0.000 0.000
Te: 0.500 0.500 0.500
Ru: 0.250 0.250 0.741
Ru: 0.750 0.750 0.259

Entry 7:
DyAsH after structural relaxation, computed with PBE.

Summary:
**E**: -14.98 eV for the cell shown

a b c (Å): 3.691 3.691 4.264
angles (deg): 90.00 90.00 120.00
Atoms (fractional coordinates):
Dy: 0.000 0.000 0.000
As: 0.667 0.333 0.500
H: 0.333 0.667 0.000

Entry 8:
AlTl2Ir after structural relaxation, computed with PBE.

Summary:
**E**: -15.40 eV for the cell shown

a b c (Å): 5.229 5.229 5.229
angles (deg): 130.35 130.35 72.85
Atoms (fractional coordinates):
Al: 0.000 0.000 0.000
Tl: 0.250 0.750 0.500
Tl: 0.750 0.250 0.500
Ir: 0.500 0.500 0.000

Entry 9:
NdHgGe2 after structural relaxation, computed with PBE.

Summary:
**E**: -15.91 eV for the cell shown

a b c (Å): 4.599 4.599 4.255
angles (deg): 90.00 90.00 90.00
Atoms (fractional coordinates):
Nd: 0.000 0.000 0.000
Hg: 0.500 0.500 0.000
Ge: 0.000 0.500 0.500
Ge: 0.500 0.000 0.500

Entry 10:
Th2SiOsC after structural relaxation, computed with PBE.

Summary:
**Formation energy (no corrections)**: -0.461 eV per atom

a b c (Å): 6.677 3.956 8.566
angles (deg): 90.00 111.88 90.00
Atoms (fractional coordinates):
Th: 0.211 0.250 0.397
Th: 0.222 0.250 0.971
Th: 0.778 0.750 0.029
Th: 0.789 0.750 0.603
Si: 0.287 0.750 0.709
Si: 0.713 0.250 0.291
Os: 0.495 0.750 0.259
Os: 0.505 0.250 0.741
C: 0.169 0.750 0.178
C: 0.831 0.250 0.822

Entry 11:
HoThMgNb after structural relaxation, computed with PBE.

Summary:
**E**: -23.05 eV for the cell shown

a b c (Å): 5.213 5.213 5.213
angles (deg): 60.00 60.00 60.00
Atoms (fractional coordinates):
Ho: 0.000 0.000 0.000
Th: 0.500 0.500 0.500
Mg: 0.250 0.250 0.250
Nb: 0.750 0.750 0.750

Entry 12:
YMg2ZnH after structural relaxation, computed with PBE.

Summary:
**E**: -15.19 eV for the cell shown

a b c (Å): 4.480 4.480 4.488
angles (deg): 90.00 90.00 90.00
Atoms (fractional coordinates):
Y: 0.000 0.000 0.000
Mg: 0.000 0.500 0.500
Mg: 0.500 0.000 0.500
Zn: 0.500 0.500 0.000
H: 0.000 0.000 0.500